Density functional theory data (PBE) for crystalline Zr2Ga3W4C3 at its relaxed geometry.

Computed properties:
As for the space group: C2/c (15). Its final energy is -218.62 eV/cell.

Unit cell a=5.447 b=5.447 c=13.781 alpha=102.04 beta=102.04 gamma=60.15
Fractional positions:
Zr  0.539  0.375  0.611
Zr  0.461  0.625  0.389
Ga  0.950  0.050  0.250
W  0.695  0.857  0.080
W  0.143  0.305  0.420
C  0.174  0.663  0.500
W  0.024  0.198  0.080
Ga  0.587  0.877  0.750
W  0.305  0.143  0.920
Zr  0.625  0.461  0.889
C  0.826  0.337  0.500
W  0.857  0.695  0.580
C  0.663  0.174  0.000
C  0.000  0.500  0.000
Zr  0.375  0.539  0.111
W  0.976  0.802  0.920
W  0.198  0.024  0.580
Ga  0.123  0.413  0.750
Ga  0.050  0.950  0.750
C  0.337  0.826  0.000
W  0.802  0.976  0.420
Ga  0.877  0.587  0.250
C  0.500  0.000  0.500
Ga  0.413  0.123  0.250